1.
{
  "formula": "SrAl2Ru2",
  "functional": "GGA-PBE",
  "state": "optimized geometry",
  "formation_enthalpy_0k_ev_per_atom": -0.2552,
  "sg": "No. 139",
  "crystal_system": "tetragonal",
  "lattice": [[-0.398, -3.232, -2.838], [4.004, 0.763, -1.431], [3.687, -4.546, 1.372]],
  "species": ["Al", "Al", "Ru", "Ru", "Sr"],
  "fractional_positions": [[0.750, 0.250, 0.500], [0.250, 0.750, 0.500], [0.381, 0.381, 0.237], [0.619, 0.619, 0.763], [0.000, 0.000, 0.000]]
}

2.
{
  "formula": "Ho2In5Br12",
  "functional": "GGA-PBE",
  "state": "optimized geometry",
  "sg": "No. 12",
  "raw_formation_energy_ev_per_atom": -1.11,
  "crystal_system": "monoclinic",
  "lattice": [[-4.415, 5.871, 1.966], [-9.106, -3.726, 0.232], [-3.481, -2.395, 8.889]],
  "species": ["Br", "Br", "Br", "Br", "Br", "Br", "Br", "Br", "Br", "Br", "Br", "Br", "In", "In", "In", "In", "In", "Ho", "Ho"],
  "fractional_positions": [[0.750, 0.711, 0.095], [0.750, 0.095, 0.711], [0.250, 0.905, 0.289], [0.803, 0.082, 0.082], [0.225, 0.142, 0.527], [0.225, 0.527, 0.142], [0.201, 0.523, 0.523], [0.775, 0.473, 0.858], [0.250, 0.289, 0.905], [0.197, 0.918, 0.918], [0.799, 0.477, 0.477], [0.775, 0.858, 0.473], [0.006, 0.747, 0.747], [0.500, 0.000, 0.000], [0.514, 0.351, 0.351], [0.994, 0.253, 0.253], [0.486, 0.649, 0.649], [0.000, 0.750, 0.250], [0.000, 0.250, 0.750]]
}

3.
{
  "formula": "In2NiP",
  "functional": "GGA-PBE",
  "state": "optimized geometry",
  "formation_enthalpy_0k_ev_per_atom": 0.2382,
  "sg": "No. 10",
  "crystal_system": "monoclinic",
  "lattice": [[-2.202, 2.480, -1.186], [-1.290, 0.477, 3.392], [3.603, 4.155, 1.999]],
  "species": ["In", "In", "Ni", "P"],
  "fractional_positions": [[0.000, 0.984, 0.254], [0.000, 0.016, 0.746], [0.500, 0.500, 0.500], [0.500, 0.500, 0.000]]
}